LiNpPb2Se4 | PBE-GGA | optimized geometry

Magnetic moment in μB per formula unit: 4.000
ΔE_f (raw) in eV/f.u.: -6.62

Lattice parameters (Å, degrees): 7.2285 4.2444 7.4702 90.00 108.76 90.00
Space group P2/m (No. 10)
Inequivalent atoms, fractional coordinates:
Li (0.0000, 0.0000, 0.0000) [1 per cell]
Np (0.5000, 0.5000, 0.0000) [1 per cell]
Pb (0.0000, 0.5000, 0.5000) [1 per cell]
Pb (0.5000, 0.0000, 0.5000) [1 per cell]
Se (0.2434, 0.5000, 0.2274) [2 per cell]
Se (0.2556, 0.0000, 0.7743) [2 per cell]